This record from Alexandria describes crystalline Al2SiRh at its relaxed geometry. The functional is GGA-PBE.

Uncorrected formation energy ... -0.300 eV/atom
Total magnetic moment ... 0.000 μB/cell
Density of states at the Fermi level ... 4.82 states/eV per cell
Calculated total energy ... -5.365 eV per atom

abc: 2.9332 2.9332 23.9420
angles: 90.00 90.00 120.00
Space group R-3m (No. 166, hexagonal axes)
Unique sites:
Al 0.0000 0.0000 0.2464 [6 per cell]
Si 0.0000 0.0000 0.0000 [3 per cell]
Rh 0.0000 0.0000 0.5000 [3 per cell]